The following is a PBE with a Hubbard U calculation of an optimized crystal structure of LaNiHgF2, from the Alexandria database.

Summary:
DOS at the Fermi energy   0.634 states/eV/atom
Electronic total energy   -17.494 eV for the cell shown
Crystal system   tetragonal
Magnetization   1.6 μB/cell

Geometry as CIF:
```
data_LaNiHgF2
_symmetry_space_group_name_H-M 'P 4/m m m'
_symmetry_Int_Tables_number 123
_symmetry_space_group_name_Hall '-P 4 2'
_cell_length_a 4.3295
_cell_length_b 4.3295
_cell_length_c 5.2342
_cell_angle_alpha 90.00
_cell_angle_beta 90.00
_cell_angle_gamma 90.00
loop_
_atom_site_label
_atom_site_fract_x
_atom_site_fract_y
_atom_site_fract_z
_atom_site_occupancy
La1 0.0000 0.0000 0.0000 1
Ni1 0.5000 0.5000 0.5000 1
Hg1 0.5000 0.5000 0.0000 1
F1 0.0000 0.5000 0.5000 1
```